{
  "formula": "BaScCd2",
  "functional": "GGA-PBE",
  "state": "relaxed",
  "lattice_angstrom": [[-1.9723, -2.8393, -4.3296], [1.0995, -1.2813, -5.2770], [3.1804, -5.6765, 0.9772]],
  "species": ["Sc", "Cd", "Cd", "Ba"],
  "fractional_positions": [[0.4807, 0.4807, 0.5927], [0.0139, 0.0139, 0.9516], [0.7461, 0.7461, 0.7226], [0.2592, 0.2592, 0.2331]],
  "spacegroup": "Cm, No. 8",
  "ef_ev_per_atom": -0.02,
  "magmom_total_mub_per_cell": 0.00,
  "crystal_system": "monoclinic"
}